{
  "formula": "BaPu2FeO8",
  "functional": "PBE+U",
  "state": "optimized geometry",
  "lattice_angstrom": [[-4.745, -2.539, 1.513], [1.936, -0.571, -5.213], [3.531, -5.461, 1.910]],
  "species": ["O", "O", "O", "O", "O", "O", "O", "O", "Fe", "Ba", "Pu", "Pu"],
  "fractional_positions": [[0.662, 0.721, 0.144], [0.279, 0.941, 0.144], [0.721, 0.059, 0.856], [0.338, 0.279, 0.856], [0.333, 0.667, 0.614], [0.059, 0.338, 0.144], [0.667, 0.333, 0.386], [0.941, 0.662, 0.856], [0.000, 0.000, 0.000], [0.000, 0.000, 0.500], [0.667, 0.333, 0.105], [0.333, 0.667, 0.895]],
  "spacegroup": "P-3 (147)",
  "e_tot_ev_per_atom": -8.543,
  "crystal_system": "trigonal",
  "dos_ef_per_ev_atom": 0.7942
}